First-principles (PBE) data for a geometry-optimized Tc2PCl structure, as listed in Alexandria via LeMat-Bulk.

```
Tc2PCl
1.0
0.000 3.008 3.008
3.008 0.000 3.008
3.008 3.008 0.000
P Tc Cl
1 2 1
Cartesian
0.000 0.000 0.000 P
1.504 1.504 1.504 Tc
4.513 4.513 4.513 Tc
3.008 3.008 3.008 Cl
```

Properties
The electronic total energy is -6.68 eV/atom. Its magnetic moment is 0.0 μB per formula unit. The density of states at the Fermi level comes out at 4.07 states/eV per cell. The value obtained for the uncorrected formation energy is 1.275 eV/f.u.